## PrHo2Zn2 (PBE)

Data for a relaxed structure of PrHo2Zn2.

Lattice parameters (Å, degrees): 3.6340 5.2477 13.4308 90.00 97.78 90.00
Sites, in units of the cell vectors:
Zn: 0.4549 0.7500 0.9094
Zn: 0.3594 0.2500 0.7194
Zn: 0.5451 0.2500 0.0906
Zn: 0.6406 0.7500 0.2806
Pr: 0.1444 0.2500 0.2863
Pr: 0.8556 0.7500 0.7137
Ho: 0.7674 0.2500 0.5345
Ho: 0.0466 0.7500 0.0933
Ho: 0.2326 0.7500 0.4655
Ho: 0.9534 0.2500 0.9067

Computed properties:
Its spin magnetization is 0.00 μB/f.u. The calculation puts the calculated formation energy at -248.2 meV per atom. For the total energy, the calculation gives -35.448 eV/cell. Its energy above the most stable polymorph in this dataset is 0 meV/atom. Its symmetry is P2_1/m (11). The density of states at the Fermi level comes out at 1.0427 states/eV per atom.